{
  "formula": "PmPr3Y5",
  "functional": "PBE",
  "state": "optimized geometry",
  "total_energy_ev_per_cell": -101.82,
  "delta_e_f_ev_per_atom": 0.056,
  "space_group": "P6_3/mcm",
  "cell": [[-3.713, 4.674, 3.930], [-8.150, -2.038, -5.276], [2.057, -5.236, 8.171]],
  "species": ["Pr", "Pm", "Pm", "Y", "Y", "Y", "Y", "Pr", "Pr", "Pr", "Y", "Y", "Y", "Y", "Pr", "Pr", "Y", "Y"],
  "fractional_positions": [[0.750, 0.355, 0.000], [0.000, 0.000, 0.000], [0.500, 0.000, 0.000], [0.750, 0.000, 0.684], [0.250, 0.684, 0.684], [0.500, 0.667, 0.333], [0.000, 0.333, 0.667], [0.250, 0.645, 0.000], [0.750, 0.645, 0.645], [0.250, 0.000, 0.645], [0.000, 0.667, 0.333], [0.750, 0.684, 0.000], [0.250, 0.316, 0.000], [0.500, 0.333, 0.667], [0.250, 0.355, 0.355], [0.750, 0.000, 0.355], [0.250, 0.000, 0.316], [0.750, 0.316, 0.316]]
}